(1)
VASP calculation (GGA-PBE) on a geometry-optimized AgB4Sb structure.

a b c (Å): 3.0666 3.0666 8.6177
angles (deg): 90.00 90.00 120.00
Positions (direct):
Sb (0.0000, 0.0000, 0.0000)
B (0.3333, 0.6667, 0.2650)
B (0.6667, 0.3333, 0.2650)
B (0.6667, 0.3333, 0.7350)
B (0.3333, 0.6667, 0.7350)
Ag (0.0000, 0.0000, 0.5000)

The symmetry is P6/mmm. The relative energy among the computed polymorphs comes out at 0.000 kcal/mol of atoms. The calculation puts the electronic total energy at -4.99 eV per atom.

(2)
VASP calculation (GGA-PBE) on a geometry-optimized ScAgB structure.

a b c (Å): 4.1779 4.1779 4.1779
angles (deg): 60.00 60.00 60.00
Positions (direct):
Ag (0.0000, 0.0000, 0.0000)
B (0.2500, 0.2500, 0.2500)
Sc (0.7500, 0.7500, 0.7500)

The symmetry is F-43m. The relative energy among the computed polymorphs comes out at 0.000 kcal/mol of atoms. The calculation puts the electronic total energy at -4.67 eV per atom.

(3)
VASP calculation (GGA-PBE) on a geometry-optimized ScAgB4 structure.

a b c (Å): 4.8041 4.8041 4.8041
angles (deg): 142.13 112.75 79.85
Positions (direct):
Ag (0.0000, 0.0000, 0.0000)
B (0.4421, 0.7638, 0.6783)
B (0.9145, 0.2362, 0.6783)
B (0.0855, 0.7638, 0.3217)
B (0.5579, 0.2362, 0.3217)
Sc (0.5000, 0.5000, 0.0000)

The symmetry is Immm. The relative energy among the computed polymorphs comes out at 0.000 kcal/mol of atoms. The calculation puts the electronic total energy at -6.14 eV per atom.